Record 1
The following is a PBEsol calculation of a relaxed structure of ZrMn2ZnRe, from Alexandria via LeMat-Bulk.

Computed properties:
formation enthalpy at 0 K = 6.97 eV/f.u.
crystal system = tetragonal

Lattice parameters (Å, degrees): 4.261 4.261 4.842 90.00 90.00 90.00
Site moments in Bohr magnetons follow the coordinates.
Element x y z (fractional)
Re  0.500  0.500  0.500  -0.41
Zn  0.000  0.000  0.000  -0.02
Mn  0.000  0.500  0.000  3.15
Mn  0.500  0.000  0.000  3.15
Zr  0.000  0.000  0.500  -0.13

***

Record 2
The following is a PBEsol calculation of a relaxed structure of IrWCl2, from Alexandria via LeMat-Bulk.

Computed properties:
formation energy (no corrections) = 1.337 eV/atom
excess energy over the best structure of this formula in the dataset = 1324 meV/atom
crystal system = tetragonal

Lattice parameters (Å, degrees): 3.086 4.342 4.342 90.00 90.00 90.00
Element x y z (fractional)
Ir  0.500  0.500  0.500
W  0.500  0.000  0.000
Cl  0.000  0.000  0.500
Cl  0.000  0.500  0.000

***

Record 3
The following is a PBEsol calculation of a relaxed structure of SrCuRu2, from Alexandria via LeMat-Bulk.

Computed properties:
formation enthalpy at 0 K = 3.17 eV/f.u.
excess energy over the best structure of this formula in the dataset = 548 meV/atom
crystal system = monoclinic

Lattice parameters (Å, degrees): 2.806 4.801 5.538 114.52 102.82 94.15
Element x y z (fractional)
Cu  0.000  0.500  0.000
Ru  0.000  0.000  0.500
Ru  0.500  0.500  0.500
Sr  0.500  0.000  0.000

***

Record 4
The following is a PBEsol calculation of a relaxed structure of Li3MnP2O9, from Alexandria via LeMat-Bulk.

Computed properties:
formation energy (no corrections) = -2.079 eV/atom
crystal system = triclinic

Lattice parameters (Å, degrees): 6.697 6.974 7.713 89.14 64.50 87.36
Site moments in Bohr magnetons follow the coordinates.
Element x y z (fractional)
Li  0.139  0.760  0.802  0.00
Li  0.401  0.685  0.269  0.00
Li  0.591  0.315  0.734  0.00
Li  0.918  0.234  0.199  0.00
Li  0.000  0.501  0.494  0.00
Li  0.761  0.004  0.999  0.00
Mn  0.494  0.998  0.508  2.05
Mn  0.002  0.002  0.493  2.18
P  0.107  0.295  0.745  0.01
P  0.388  0.235  0.200  0.01
P  0.618  0.764  0.800  0.01
P  0.877  0.706  0.254  0.01
O  0.011  0.771  0.371  0.01
O  0.172  0.117  0.259  0.00
O  0.996  0.195  0.936  -0.06
O  0.321  0.427  0.303  -0.05
O  0.522  0.764  0.016  -0.05
O  0.105  0.511  0.740  -0.05
O  0.237  0.912  0.529  0.00
O  0.548  0.115  0.270  0.00
O  0.359  0.222  0.643  -0.02
O  0.624  0.770  0.375  -0.01
O  0.446  0.872  0.737  -0.02
O  0.756  0.087  0.472  0.00
O  0.898  0.491  0.258  -0.03
O  0.512  0.233  0.985  -0.05
O  0.683  0.573  0.696  -0.08
O  0.954  0.811  0.065  -0.04
O  0.828  0.893  0.735  0.01
O  0.989  0.236  0.615  0.00

***

Record 5
The following is a PBEsol calculation of a relaxed structure of GaCuB3, from Alexandria via LeMat-Bulk.

Computed properties:
formation enthalpy at 0 K = 10.33 eV/f.u.
crystal system = cubic

Lattice parameters (Å, degrees): 4.045 4.045 4.045 90.00 90.00 90.00
Element x y z (fractional)
B  0.000  0.500  0.000
B  0.000  0.000  0.500
B  0.500  0.000  0.000
Cu  0.500  0.500  0.500
Ga  0.000  0.000  0.000

***

Record 6
The following is a PBEsol calculation of a relaxed structure of TaSnAsSe2, from Alexandria via LeMat-Bulk.

Computed properties:
formation energy (no corrections) = 1.232 eV/atom
excess energy over the best structure of this formula in the dataset = 1246 meV/atom
crystal system = tetragonal

Lattice parameters (Å, degrees): 5.038 5.034 5.034 90.00 90.00 90.00
Site moments in Bohr magnetons follow the coordinates.
Element x y z (fractional)
As  0.500  0.000  0.000  -0.15
Sn  0.000  0.000  0.000  0.01
Se  0.000  0.000  0.500  -0.13
Se  0.000  0.500  0.000  -0.13
Ta  0.500  0.500  0.500  1.62

***

Record 7
The following is a PBEsol calculation of a relaxed structure of LaYTl2, from Alexandria via LeMat-Bulk.

Computed properties:
formation enthalpy at 0 K = -1.89 eV/f.u.
crystal system = tetragonal

Lattice parameters (Å, degrees): 3.803 3.803 7.709 90.00 90.00 90.00
Element x y z (fractional)
Y  0.500  0.500  0.000
Tl  0.000  0.000  0.769
Tl  0.000  0.000  0.231
La  0.500  0.500  0.500

***

Record 8
The following is a PBEsol calculation of a relaxed structure of Be2ReMo, from Alexandria via LeMat-Bulk.

Computed properties:
formation enthalpy at 0 K = -0.86 eV/f.u.
excess energy over the best structure of this formula in the dataset = 0 meV/atom
crystal system = orthorhombic

Lattice parameters (Å, degrees): 3.127 3.201 4.646 90.00 109.67 90.00
Element x y z (fractional)
Re  0.402  0.500  0.804
Mo  0.096  0.000  0.192
Be  0.818  0.000  0.637
Be  0.683  0.500  0.366

***

Record 9
The following is a PBEsol calculation of a relaxed structure of RbNbAsBr2, from Alexandria via LeMat-Bulk.

Computed properties:
formation energy (no corrections) = 1.259 eV/atom
excess energy over the best structure of this formula in the dataset = 1875 meV/atom
crystal system = tetragonal

Lattice parameters (Å, degrees): 5.791 5.791 5.628 90.00 90.00 90.00
Site moments in Bohr magnetons follow the coordinates.
Element x y z (fractional)
As  0.000  0.000  0.500  -0.67
Nb  0.500  0.500  0.500  2.85
Br  0.000  0.500  0.000  -0.11
Br  0.500  0.000  0.000  -0.11
Rb  0.000  0.000  0.000  -0.03

***

Record 10
The following is a PBEsol calculation of a relaxed structure of LaNi3Hg, from Alexandria via LeMat-Bulk.

Computed properties:
formation enthalpy at 0 K = 2.79 eV/f.u.
crystal system = cubic

Lattice parameters (Å, degrees): 4.686 4.686 4.686 90.00 90.00 90.00
Element x y z (fractional)
Ni  0.000  0.500  0.000
Ni  0.000  0.000  0.500
Ni  0.500  0.000  0.000
Hg  0.000  0.000  0.000
La  0.500  0.500  0.500

***

Record 11
The following is a PBEsol calculation of a relaxed structure of InCoNi2Os, from Alexandria via LeMat-Bulk.

Computed properties:
formation enthalpy at 0 K = 6.35 eV/f.u.
crystal system = tetragonal

Lattice parameters (Å, degrees): 4.373 4.489 4.489 90.00 90.00 90.00
Element x y z (fractional)
Ni  0.000  0.000  0.500
Ni  0.000  0.500  0.000
Co  0.500  0.000  0.000
Os  0.000  0.000  0.000
In  0.500  0.500  0.500

***

Record 12
The following is a PBEsol calculation of a relaxed structure of La5Be, from Alexandria via LeMat-Bulk.

Computed properties:
formation enthalpy at 0 K = 0.57 eV/f.u.
crystal system = monoclinic

Lattice parameters (Å, degrees): 3.660 6.346 8.747 110.61 90.00 106.76
Element x y z (fractional)
Be  0.972  0.944  0.944
La  0.311  0.623  0.659
La  0.633  0.266  0.229
La  0.609  0.219  0.805
La  0.973  0.945  0.445
La  0.335  0.671  0.084